A plane-wave DFT calculation with PBE was carried out for an optimized crystal structure of AlRh2Cl.

Unit cell a=2.9854 b=2.9854 c=6.7737 alpha=90.00 beta=90.00 gamma=90.00
Last column: nearest neighbours and their distance in Å.
Positions (direct):
Al 0.5000 0.5000 0.2500  8 Rh 2.56
Cl 0.5000 0.5000 0.7500  8 Rh 2.87, 4 Cl 2.99
Rh 0.0000 0.0000 0.0363  4 Al 2.56, 4 Cl 2.87
Rh 0.0000 0.0000 0.4637  4 Al 2.56, 4 Cl 2.87

- space group = P4/mmm, No. 123
- raw total energy (eV/atom) = -5.369
- formation energy without anion corrections (eV per atom) = -0.296